A plane-wave DFT calculation with PBE was carried out for a geometry-optimized BaCaC2O6 structure.

Cell lengths 8.7816, 8.7816, 6.2532 Å; angles 90.00, 90.00, 120.00 degrees
Closest atoms and distances in Å follow each position.
Element x y z (fractional)
Ba1 0.0000 0.6869 0.0000  10 O 2.82-2.91
Ba2 0.3131 0.3131 0.0000  10 O 2.82-2.91
Ba3 0.6869 0.0000 0.0000  10 O 2.82-2.91
Ca1 0.0000 0.3601 0.5000  8 O 2.40-2.63
Ca2 0.3601 0.0000 0.5000  8 O 2.40-2.63
Ca3 0.6399 0.6399 0.5000  8 O 2.40-2.63
C1 0.0000 0.0000 0.2657  3 O 1.30
C2 0.0000 0.0000 0.7343  3 O 1.30
C3 0.3333 0.6667 0.3535  3 O 1.30
C4 0.3333 0.6667 0.8128  3 O 1.30
C5 0.6667 0.3333 0.1872  3 O 1.30
C6 0.6667 0.3333 0.6465  3 O 1.30
O1 0.0044 0.1501 0.7409  1 C 1.30
O2 0.1457 0.9956 0.7409  1 C 1.30
O3 0.1501 0.0044 0.2591  1 C 1.30
O4 0.1791 0.5253 0.8159  1 C 1.30
O5 0.1894 0.6748 0.3573  1 C 1.30
O6 0.3252 0.5146 0.3573  1 C 1.30
O7 0.3462 0.8209 0.8159  1 C 1.30
O8 0.4747 0.6538 0.8159  1 C 1.30
O9 0.4854 0.8106 0.3573  1 C 1.30
O10 0.5146 0.3252 0.6427  1 C 1.30
O11 0.5253 0.1791 0.1841  1 C 1.30
O12 0.6538 0.4747 0.1841  1 C 1.30
O13 0.6748 0.1894 0.6427  1 C 1.30
O14 0.8106 0.4854 0.6427  1 C 1.30
O15 0.8209 0.3462 0.1841  1 C 1.30
O16 0.8499 0.8543 0.7409  1 C 1.30
O17 0.8543 0.8499 0.2591  1 C 1.30
O18 0.9956 0.1457 0.2591  1 C 1.30

Symmetry: P321
E_tot, Ry per atom: -0.549
Size of the total moment, Bohr magnetons per cell: 0.0
Raw formation energy, eV per atom: -2.254
Mass density, kg/m³: 3548